Sm2NbCu: optimized geometry, PBE-GGA.

Results
As for the crystal system: trigonal. Its formation energy is 606 meV/atom. The value obtained for the total DFT energy (no corrections) is -5.295 eV per atom.

a = 3.1999 Å, b = 3.1999 Å, c = 32.3030 Å
α = 90.00°, β = 90.00°, γ = 120.00°
Last column: nearest neighbours and their distance in Å.
Space group R-3m (No. 166, hexagonal axes)
Unique sites:
Sm 0.0000 0.0000 0.0935 (multiplicity 6)  3 Cu 3.00, 1 Nb 3.02, 6 Sm 3.20
Nb 0.0000 0.0000 0.0000 (multiplicity 3)  2 Sm 3.02, 6 Nb 3.20
Cu 0.0000 0.0000 0.5000 (multiplicity 3)  6 Sm 3.00, 6 Cu 3.20

***

YInCl2: optimized geometry, PBE-GGA.

Results
For the uncorrected formation energy, the calculation gives -5.02 eV per formula unit. As for the crystal system: orthorhombic. The value obtained for the total DFT energy (no corrections) is -4.480 eV per atom. For the distance to the lowest polymorph of the same formula, the calculation gives 36 meV/atom.

a = 3.5385 Å, b = 6.0596 Å, c = 10.6821 Å
α = 90.00°, β = 90.00°, γ = 90.00°
Last column: nearest neighbours and their distance in Å.
Space group Immm (No. 71)
Unique sites:
Y 0.0000 0.0000 0.0000 (multiplicity 2)  4 Cl 2.70
In 0.0000 0.0000 0.5000 (multiplicity 2)  4 Y 3.51, 2 In 3.54, 8 Cl 3.65-3.75
Cl 0.0000 0.5000 0.3094 (multiplicity 4)  2 Y 2.70

***

CrNiSe2: optimized geometry, PBE-GGA.

Results
For the uncorrected formation energy, the calculation gives -1.42 eV per formula unit. As for the crystal system: monoclinic. The value obtained for the total DFT energy (no corrections) is -5.948 eV per atom. For the distance to the lowest polymorph of the same formula, the calculation gives 0 meV/atom.

a = 7.7973 Å, b = 5.9786 Å, c = 7.6937 Å
α = 90.00°, β = 118.06°, γ = 90.00°
Last column: nearest neighbours and their distance in Å.
Space group P2_1/c (No. 14)
Unique sites:
Cr 0.0309 0.0331 0.3227 (multiplicity 4)  5 Se 2.48-2.64, 3 Ni 2.65-2.70
Ni 0.1259 0.6441 0.5616 (multiplicity 4)  4 Se 2.33-2.48, 1 Ni 2.44
Se 0.1972 0.2433 0.6455 (multiplicity 4)  2 Ni 2.36-2.48, 2 Cr 2.52-2.53
Se 0.2924 0.7441 0.8927 (multiplicity 4)  2 Ni 2.33, 1 Cr 2.48

***

Pr2Sm8Y3: optimized geometry, PBE-GGA.

Results
As for the crystal system: monoclinic. Its formation energy is 215 meV/atom. The value obtained for the total DFT energy (no corrections) is -4.916 eV per atom. For the distance to the lowest polymorph of the same formula, the calculation gives 5 meV/atom.

a = 20.8770 Å, b = 7.7124 Å, c = 5.6758 Å
α = 90.00°, β = 90.02°, γ = 90.00°
Last column: nearest neighbours and their distance in Å.
Space group C2/m (No. 12)
Unique sites:
Pr 0.2407 0.0000 0.4993 (multiplicity 4)  8 Sm 3.44-3.66
Sm 0.1047 0.2926 0.5001 (multiplicity 8)  1 Y 3.14, 3 Sm 3.20-3.50
Sm 0.1303 0.0000 0.9997 (multiplicity 4)  2 Y 3.50, 2 Pr 3.65-3.66, 4 Sm 3.66-3.67
Sm 0.1661 0.5000 0.0004 (multiplicity 4)  2 Pr 3.44, 4 Sm 3.50, 2 Y 3.84
Y 0.0000 0.0000 0.5000 (multiplicity 2)  4 Sm 3.14
Y 0.0000 0.2852 0.0000 (multiplicity 4)  3 Y 3.31-3.59, 6 Sm 3.50-3.58

***

TcH2S: optimized geometry, PBE-GGA.

Results
As for the crystal system: cubic. The value obtained for the total DFT energy (no corrections) is -4.348 eV per atom. For the distance to the lowest polymorph of the same formula, the calculation gives 525 meV/atom.

a = 5.1935 Å, b = 5.1935 Å, c = 5.1935 Å
α = 90.00°, β = 90.00°, γ = 90.00°
Last column: nearest neighbours and their distance in Å.
Space group Fm-3m (No. 225)
Unique sites:
Tc 0.0000 0.0000 0.0000 (multiplicity 4)  8 H 2.25
H 0.2500 0.2500 0.2500 (multiplicity 8)  4 S 2.25, 4 Tc 2.25
S 0.0000 0.0000 0.5000 (multiplicity 4)  8 H 2.25

***

NbSI2N: optimized geometry, PBE-GGA.

Results
For the uncorrected formation energy, the calculation gives 2.27 eV per formula unit. As for the crystal system: tetragonal. The value obtained for the total DFT energy (no corrections) is -4.670 eV per atom. For the distance to the lowest polymorph of the same formula, the calculation gives 0 meV/atom.

a = 5.7042 Å, b = 5.7042 Å, c = 3.9139 Å
α = 90.00°, β = 90.00°, γ = 90.00°
Last column: nearest neighbours and their distance in Å.
Space group P4/mmm (No. 123)
Unique sites:
Nb 0.0000 0.0000 0.0000 (multiplicity 1)  2 N 1.96
S 0.5000 0.5000 0.5000 (multiplicity 1)  8 I 3.46
I 0.0000 0.5000 0.0000 (multiplicity 2)  2 Nb 2.85
N 0.0000 0.0000 0.5000 (multiplicity 1)  2 Nb 1.96

***

Pr4CSe2S: optimized geometry, PBE-GGA.

Results
For the uncorrected formation energy, the calculation gives -11.96 eV per formula unit. As for the crystal system: monoclinic. The value obtained for the total DFT energy (no corrections) is -6.425 eV per atom.

a = 7.1110 Å, b = 4.0569 Å, c = 7.2862 Å
α = 90.00°, β = 108.60°, γ = 90.00°
Last column: nearest neighbours and their distance in Å.
Space group P2/m (No. 10)
Unique sites:
Pr 0.2201 0.0000 0.2135 (multiplicity 2)  2 C 2.73, 1 S 2.89, 1 Se 2.98
Pr 0.2372 0.5000 0.7795 (multiplicity 2)  1 C 2.67, 2 S 2.88, 2 Se 2.99
C 0.0000 0.5000 0.0000 (multiplicity 1)  6 Pr 2.67-2.73
Se 0.0000 0.0000 0.5000 (multiplicity 1)  6 Pr 2.98-2.99
Se 0.5000 0.5000 0.5000 (multiplicity 1)  6 Pr 3.13-3.17
S 0.5000 0.0000 0.0000 (multiplicity 1)  6 Pr 2.88-2.89

***

CaPr3S6: optimized geometry, PBE-GGA.

Results
For the uncorrected formation energy, the calculation gives -17.95 eV per formula unit. As for the crystal system: monoclinic. The value obtained for the total DFT energy (no corrections) is -5.905 eV per atom.

a = 7.0033 Å, b = 7.5337 Å, c = 11.8590 Å
α = 90.00°, β = 122.60°, γ = 90.00°
Last column: nearest neighbours and their distance in Å.
Space group P2_1/c (No. 14)
Unique sites:
Ca 0.0000 0.0000 0.0000 (multiplicity 2)  6 S 2.75-2.88
Pr 0.1995 0.0918 0.7386 (multiplicity 4)  6 S 2.87-3.12
Pr 0.5000 0.0000 0.5000 (multiplicity 2)  6 S 2.79-2.85
S 0.1053 0.1868 0.4264 (multiplicity 4)  1 Ca 2.75, 2 Pr 2.79-2.88
S 0.2214 0.6911 0.4068 (multiplicity 4)  1 Ca 2.75, 3 Pr 2.85-2.98
S 0.4200 0.0820 0.2452 (multiplicity 4)  3 Pr 2.83-2.88, 1 Ca 2.88

***

LuNi2Pd: optimized geometry, PBE-GGA.

Results
As for the crystal system: tetragonal. Its formation energy is -517 meV/atom. The value obtained for the total DFT energy (no corrections) is -5.836 eV per atom. For the distance to the lowest polymorph of the same formula, the calculation gives 0 meV/atom.

a = 3.9197 Å, b = 3.9197 Å, c = 3.8737 Å
α = 90.00°, β = 90.00°, γ = 90.00°
Last column: nearest neighbours and their distance in Å.
Space group P4/mmm (No. 123)
Unique sites:
Lu 0.0000 0.0000 0.0000 (multiplicity 1)  8 Ni 2.76, 4 Pd 2.77
Ni 0.0000 0.5000 0.5000 (multiplicity 2)  4 Pd 2.76, 4 Lu 2.76, 4 Ni 2.77
Pd 0.5000 0.5000 0.0000 (multiplicity 1)  8 Ni 2.76, 4 Lu 2.77

***

NpCuCl6: optimized geometry, PBE-GGA.

Results
For the uncorrected formation energy, the calculation gives -9.53 eV per formula unit. As for the crystal system: triclinic. The value obtained for the total DFT energy (no corrections) is -4.705 eV per atom. For the distance to the lowest polymorph of the same formula, the calculation gives 15 meV/atom.

a = 6.5173 Å, b = 6.5187 Å, c = 6.9291 Å
α = 90.05°, β = 118.02°, γ = 119.97°
Last column: nearest neighbours and their distance in Å.
Space group P-1 (No. 2)
Unique sites:
Np 0.0000 0.0000 0.0000 (multiplicity 1)  6 Cl 2.56
Cu 0.0000 0.5000 0.5000 (multiplicity 1)  6 Cl 2.49
Cl 0.1286 0.2524 0.7457 (multiplicity 2)  1 Cu 2.49, 1 Np 2.56
Cl 0.1304 0.3833 0.2545 (multiplicity 2)  1 Cu 2.49, 1 Np 2.56
Cl 0.4933 0.8763 0.7457 (multiplicity 2)  1 Cu 2.49, 1 Np 2.56

***

Ac2PuAsO8: optimized geometry, PBE-GGA.

Results
For the uncorrected formation energy, the calculation gives -25.33 eV per formula unit. As for the crystal system: trigonal. The value obtained for the total DFT energy (no corrections) is -7.683 eV per atom.

a = 5.6257 Å, b = 5.6257 Å, c = 6.2846 Å
α = 90.00°, β = 90.00°, γ = 120.00°
Last column: nearest neighbours and their distance in Å.
Space group P-3m1 (No. 164)
Unique sites:
Ac 0.3333 0.6667 0.3552 (multiplicity 2)  1 O 2.15
Pu 0.0000 0.0000 0.0000 (multiplicity 1)  6 O 2.49
As 0.0000 0.0000 0.5000 (multiplicity 1)  6 O 1.86
O 0.1507 0.3015 0.6810 (multiplicity 6)  1 As 1.86
O 0.3333 0.6667 0.0133 (multiplicity 2)  1 Ac 2.15

***

Ba2SnHgPb6: optimized geometry, PBE-GGA.

Results
As for the crystal system: orthorhombic. Its formation energy is -164 meV/atom. The value obtained for the total DFT energy (no corrections) is -3.204 eV per atom.

a = 6.6741 Å, b = 10.5500 Å, c = 10.7934 Å
α = 90.00°, β = 90.00°, γ = 90.00°
Last column: nearest neighbours and their distance in Å.
Space group Pmmn (No. 59, origin choice 2)
Unique sites:
Ba 0.2500 0.0022 0.2090 (multiplicity 4)  7 Pb 3.85-4.15, 2 Sn 4.25, 2 Hg 4.28
Sn 0.2500 0.7500 0.7674 (multiplicity 2)  6 Pb 3.06-3.31
Hg 0.2500 0.2500 0.7610 (multiplicity 2)  6 Pb 3.02-3.30
Pb 0.9997 0.2500 0.4974 (multiplicity 4)  6 Pb 3.25-3.34, 1 Hg 3.30, 1 Sn 3.31
Pb 0.0041 0.2500 0.9961 (multiplicity 4)  1 Hg 3.02, 1 Sn 3.06, 1 Pb 3.28
Pb 0.2500 0.5023 0.5936 (multiplicity 4)  1 Sn 3.22, 1 Hg 3.22, 4 Pb 3.25-3.31

***

Ba2MoOs: optimized geometry, PBE-GGA.

Results
As for the crystal system: cubic. Its formation energy is 1418 meV/atom. The value obtained for the total DFT energy (no corrections) is -5.058 eV per atom. For the distance to the lowest polymorph of the same formula, the calculation gives 1069 meV/atom.

a = 7.4509 Å, b = 7.4509 Å, c = 7.4509 Å
α = 90.00°, β = 90.00°, γ = 90.00°
Last column: nearest neighbours and their distance in Å.
Space group F-43m (No. 216)
Unique sites:
Ba 0.0000 0.0000 0.0000 (multiplicity 4)  4 Mo 3.23, 4 Ba 3.23
Ba 0.2500 0.2500 0.2500 (multiplicity 4)  4 Ba 3.23, 4 Os 3.23
Mo 0.2500 0.2500 0.7500 (multiplicity 4)  4 Ba 3.23, 4 Os 3.23
Os 0.0000 0.0000 0.5000 (multiplicity 4)  4 Ba 3.23, 4 Mo 3.23

***

Cs2ErAg2F6: optimized geometry, PBE-GGA.

Results
For the uncorrected formation energy, the calculation gives -27.93 eV per formula unit. As for the crystal system: monoclinic. The value obtained for the total DFT energy (no corrections) is -4.648 eV per atom.

a = 11.4937 Å, b = 6.7360 Å, c = 7.7043 Å
α = 90.00°, β = 121.30°, γ = 90.00°
Last column: nearest neighbours and their distance in Å.
Space group C2/m (No. 12)
Unique sites:
Cs 0.2130 0.0000 0.1674 (multiplicity 4)  5 F 2.98-3.22
Er 0.0000 0.0000 0.5000 (multiplicity 2)  6 F 2.17-2.18
Ag 0.0595 0.5000 0.2036 (multiplicity 4)  3 F 2.36-2.49
F 0.0585 0.2228 0.7355 (multiplicity 8)  1 Er 2.17
F 0.2049 0.0000 0.5510 (multiplicity 4)  1 Er 2.18, 1 Ag 2.36

***

Nd2Ho5ErSc: optimized geometry, PBE-GGA.

Results
As for the crystal system: orthorhombic. Its formation energy is 154 meV/atom. The value obtained for the total DFT energy (no corrections) is -4.659 eV per atom.

a = 5.5284 Å, b = 20.0109 Å, c = 10.3432 Å
α = 90.00°, β = 90.00°, γ = 90.00°
Last column: nearest neighbours and their distance in Å.
Space group Cmc2_1 (No. 36)
Unique sites:
Nd 0.0000 0.1131 0.0000 (multiplicity 4)  8 Ho 3.24-3.50, 1 Sc 3.51
Nd 0.0000 0.1153 0.4211 (multiplicity 4)  1 Sc 3.30, 7 Ho 3.46-3.69, 2 Er 3.64
Ho 0.0000 0.0158 0.7026 (multiplicity 4)  2 Er 3.22, 3 Nd 3.32-3.53, 1 Sc 3.60
Ho 0.0000 0.2748 0.0062 (multiplicity 4)  1 Er 3.02, 1 Nd 3.24, 2 Ho 3.36
Ho 0.0000 0.2989 0.3882 (multiplicity 4)  1 Er 3.32, 4 Ho 3.36-3.70, 2 Sc 3.38, 3 Nd 3.48-3.69
Ho 0.0000 0.3748 0.7057 (multiplicity 4)  4 Nd 3.50-3.56, 1 Sc 3.59, 4 Ho 3.60-3.70
Ho 0.0000 0.4829 0.4273 (multiplicity 4)  2 Er 3.15-3.29, 2 Nd 3.45
Er 0.0000 0.4073 0.1452 (multiplicity 4)  6 Ho 3.02-3.32
Sc 0.0000 0.1955 0.7004 (multiplicity 4)  2 Nd 3.30-3.51, 7 Ho 3.38-3.60, 2 Er 3.49

***

CaAuO2F: optimized geometry, PBE-GGA.

Results
For the uncorrected formation energy, the calculation gives -3.84 eV per formula unit. As for the crystal system: tetragonal. The value obtained for the total DFT energy (no corrections) is -4.181 eV per atom.

a = 4.5259 Å, b = 4.5259 Å, c = 4.2471 Å
α = 90.00°, β = 90.00°, γ = 90.00°
Last column: nearest neighbours and their distance in Å.
Space group P4/mmm (No. 123)
Unique sites:
Ca 0.0000 0.0000 0.0000 (multiplicity 1)  2 F 2.12, 4 O 2.26
Au 0.5000 0.5000 0.5000 (multiplicity 1)  8 O 3.10, 4 F 3.20
O 0.0000 0.5000 0.0000 (multiplicity 2)  2 Ca 2.26
F 0.0000 0.0000 0.5000 (multiplicity 1)  2 Ca 2.12

***

Ba2MgNb: optimized geometry, PBE-GGA.

Results
As for the crystal system: tetragonal. Its formation energy is 902 meV/atom. The value obtained for the total DFT energy (no corrections) is -2.976 eV per atom.

a = 9.3407 Å, b = 9.3407 Å, c = 6.7897 Å
α = 90.00°, β = 90.00°, γ = 90.00°
Last column: nearest neighbours and their distance in Å.
Space group I-42d (No. 122)
Unique sites:
Ba 0.2324 0.2500 0.1250 (multiplicity 8)  2 Nb 3.30, 2 Ba 3.41, 2 Mg 3.52
Mg 0.0000 0.0000 0.5000 (multiplicity 4)  2 Nb 3.39, 4 Ba 3.52
Nb 0.0000 0.0000 0.0000 (multiplicity 4)  4 Ba 3.30, 2 Mg 3.39

***

PbSeO: optimized geometry, PBE-GGA.

Results
For the uncorrected formation energy, the calculation gives -2.01 eV per formula unit. As for the crystal system: monoclinic. The value obtained for the total DFT energy (no corrections) is -4.720 eV per atom.

a = 10.6990 Å, b = 3.6864 Å, c = 7.2592 Å
α = 90.00°, β = 92.90°, γ = 90.00°
Last column: nearest neighbours and their distance in Å.
Space group P2_1/c (No. 14)
Unique sites:
Pb 0.1321 0.1288 0.3557 (multiplicity 4)  3 O 2.27-2.48
Se 0.4663 0.2487 0.1366 (multiplicity 4)  4 Se 2.55-2.83
O 0.0793 0.6799 0.1447 (multiplicity 4)  3 Pb 2.27-2.48

***

HoTlPd: optimized geometry, PBE-GGA.

Results
As for the crystal system: tetragonal. Its formation energy is -523 meV/atom. The value obtained for the total DFT energy (no corrections) is -4.568 eV per atom. For the distance to the lowest polymorph of the same formula, the calculation gives 125 meV/atom.

a = 3.7614 Å, b = 3.7614 Å, c = 9.5484 Å
α = 90.00°, β = 90.00°, γ = 90.00°
Last column: nearest neighbours and their distance in Å.
Space group I4mm (No. 107)
Unique sites:
Ho 0.0000 0.0000 0.0000 (multiplicity 2)  4 Pd 3.01, 5 Tl 3.01-3.19
Tl 0.0000 0.0000 0.6849 (multiplicity 2)  5 Ho 3.01-3.19, 5 Pd 3.11-3.16
Pd 0.0000 0.0000 0.3535 (multiplicity 2)  4 Ho 3.01, 5 Tl 3.11-3.16

***

La4AuI4: optimized geometry, PBE-GGA.

Results
For the uncorrected formation energy, the calculation gives -10.09 eV per formula unit. As for the crystal system: monoclinic. The value obtained for the total DFT energy (no corrections) is -4.364 eV per atom.

a = 15.1229 Å, b = 4.3849 Å, c = 11.5352 Å
α = 90.00°, β = 121.30°, γ = 90.00°
Last column: nearest neighbours and their distance in Å.
Space group C2/m (No. 12)
Unique sites:
La 0.1006 0.0000 0.4212 (multiplicity 4)  2 Au 3.06, 4 I 3.32-3.41
La 0.1868 0.5000 0.7790 (multiplicity 4)  1 Au 2.98, 4 I 3.28-3.30
Au 0.0000 0.5000 0.5000 (multiplicity 2)  6 La 2.98-3.06
I 0.0987 0.0000 0.9083 (multiplicity 4)  4 La 3.30-3.41
I 0.1769 0.5000 0.2742 (multiplicity 4)  5 La 3.28-3.37